#P
TcWBr2: single point on PBEsol structure, SCAN.

abc: 2.887 5.451 8.925
angles: 90.00 90.00 90.00
Atoms (fractional coordinates):
Tc 0.000 0.000 0.000
Tc 0.500 0.500 0.000
W 0.000 0.000 0.500
W 0.500 0.500 0.500
Br 0.000 0.500 0.239
Br 0.000 0.500 0.761
Br 0.500 0.000 0.239
Br 0.500 0.000 0.761

Output
- Magnetization: 0.00 μB/cell
- DOS at the Fermi energy: 4.5 states/eV/f.u.
- SG: Cmmm, No. 65



#Q
TcWBr2: single point on PBEsol structure, SCAN.

abc: 4.225 4.225 7.617
angles: 90.00 90.00 90.00
Atoms (fractional coordinates):
Tc 0.000 0.000 0.000
Tc 0.500 0.500 0.500
W 0.000 0.500 0.250
W 0.500 0.000 0.750
Br 0.000 0.000 0.500
Br 0.000 0.500 0.750
Br 0.500 0.000 0.250
Br 0.500 0.500 0.000

Output
- Magnetization: 0.00 μB/cell
- DOS at the Fermi energy: 3.0 states/eV/f.u.
- SG: I-4m2, No. 119



Which of them is most stable, and which least? Most stable: #P; least stable: #Q.



#P
YTcBr2: single point on PBEsol structure, SCAN.

abc: 3.702 3.702 6.722
angles: 90.00 90.00 90.00
Atoms (fractional coordinates):
Y 0.000 0.000 0.000
Tc 0.500 0.500 0.798
Br 0.000 0.000 0.584
Br 0.500 0.500 0.191

Output
- Magnetization: 2.05 μB/cell
- DOS at the Fermi energy: 2.1 states/eV/f.u.
- SG: P4mm, No. 99



#Q
YTcBr2: single point on PBEsol structure, SCAN.

abc: 3.475 3.475 6.735
angles: 90.00 90.00 90.00
Atoms (fractional coordinates):
Y 0.000 0.000 0.000
Tc 0.000 0.000 0.500
Br 0.500 0.500 0.245
Br 0.500 0.500 0.755

Output
- Magnetization: 3.58 μB/cell
- DOS at the Fermi energy: 1.5 states/eV/f.u.
- SG: P4/mmm, No. 123



Which of them is most stable, and which least? Most stable: #P; least stable: #Q.



#P
ZnTcBr2: single point on PBEsol structure, SCAN.

abc: 6.502 6.502 6.502
angles: 90.00 90.00 90.00
Atoms (fractional coordinates):
Zn 0.000 0.000 0.000
Zn 0.000 0.500 0.500
Zn 0.500 0.000 0.500
Zn 0.500 0.500 0.000
Tc 0.000 0.000 0.500
Tc 0.000 0.500 0.000
Tc 0.500 0.000 0.000
Tc 0.500 0.500 0.500
Br 0.250 0.250 0.250
Br 0.250 0.250 0.750
Br 0.250 0.750 0.250
Br 0.250 0.750 0.750
Br 0.750 0.250 0.250
Br 0.750 0.250 0.750
Br 0.750 0.750 0.250
Br 0.750 0.750 0.750

Output
- Magnetization: 8.66 μB/cell
- DOS at the Fermi energy: 3.3 states/eV/f.u.
- SG: Fm-3m, No. 225



#Q
ZnTcBr2: single point on PBEsol structure, SCAN.

abc: 6.845 6.845 6.845
angles: 90.00 90.00 90.00
Atoms (fractional coordinates):
Zn 0.000 0.000 0.000
Zn 0.000 0.500 0.500
Zn 0.500 0.000 0.500
Zn 0.500 0.500 0.000
Tc 0.250 0.250 0.250
Tc 0.250 0.750 0.750
Tc 0.750 0.250 0.750
Tc 0.750 0.750 0.250
Br 0.000 0.000 0.500
Br 0.000 0.500 0.000
Br 0.250 0.250 0.750
Br 0.250 0.750 0.250
Br 0.500 0.000 0.000
Br 0.500 0.500 0.500
Br 0.750 0.250 0.250
Br 0.750 0.750 0.750

Output
- Magnetization: 14.17 μB/cell
- DOS at the Fermi energy: 4.1 states/eV/f.u.
- SG: F-43m, No. 216



Which of them is most stable, and which least? Most stable: #P; least stable: #Q.



#P
ZnTcBr2: single point on PBEsol structure, SCAN.

abc: 6.207 7.031 3.155
angles: 90.00 90.00 90.00
Atoms (fractional coordinates):
Zn 0.000 0.000 0.000
Zn 0.500 0.500 0.000
Tc 0.000 0.500 0.000
Tc 0.500 0.000 0.000
Br 0.250 0.250 0.500
Br 0.250 0.750 0.500
Br 0.750 0.250 0.500
Br 0.750 0.750 0.500

Output
- Magnetization: 0.00 μB/cell
- DOS at the Fermi energy: 3.3 states/eV/f.u.
- SG: Cmmm, No. 65



#Q
ZnTcBr2: single point on PBEsol structure, SCAN.

abc: 3.059 5.723 9.496
angles: 90.00 90.00 90.00
Atoms (fractional coordinates):
Zn 0.000 0.000 0.000
Zn 0.500 0.500 0.000
Tc 0.000 0.000 0.500
Tc 0.500 0.500 0.500
Br 0.000 0.500 0.292
Br 0.000 0.500 0.708
Br 0.500 0.000 0.292
Br 0.500 0.000 0.708

Output
- Magnetization: 0.01 μB/cell
- DOS at the Fermi energy: 3.0 states/eV/f.u.
- SG: Cmmm, No. 65



Which of them is most stable, and which least? Most stable: #Q; least stable: #P.



#P
Zn2TcBr: single point on PBEsol structure, SCAN.

abc: 3.415 4.897 7.995
angles: 90.00 90.00 90.00
Atoms (fractional coordinates):
Zn 0.000 0.000 0.231
Zn 0.000 0.000 0.769
Zn 0.500 0.500 0.231
Zn 0.500 0.500 0.769
Tc 0.000 0.500 0.000
Tc 0.500 0.000 0.000
Br 0.000 0.500 0.500
Br 0.500 0.000 0.500

Output
- Magnetization: 0.00 μB/cell
- DOS at the Fermi energy: 1.8 states/eV/f.u.
- SG: Cmmm, No. 65



#Q
Zn2TcBr: single point on PBEsol structure, SCAN.

abc: 3.733 3.733 8.885
angles: 90.00 90.00 90.00
Atoms (fractional coordinates):
Zn 0.000 0.500 0.250
Zn 0.000 0.500 0.750
Zn 0.500 0.000 0.250
Zn 0.500 0.000 0.750
Tc 0.000 0.000 0.000
Tc 0.500 0.500 0.500
Br 0.000 0.000 0.500
Br 0.500 0.500 0.000

Output
- Magnetization: 2.36 μB/cell
- DOS at the Fermi energy: 2.0 states/eV/f.u.
- SG: I4/mmm, No. 139



#R
Zn2TcBr: single point on PBEsol structure, SCAN.

abc: 2.937 4.412 4.844
angles: 90.00 90.00 90.00
Atoms (fractional coordinates):
Zn 0.000 0.000 0.000
Zn 0.500 0.500 0.000
Tc 0.000 0.500 0.500
Br 0.500 0.000 0.500

Output
- Magnetization: 1.64 μB/cell
- DOS at the Fermi energy: 1.7 states/eV/f.u.
- SG: Pmmm, No. 47



#S
Zn2TcBr: single point on PBEsol structure, SCAN.

abc: 4.457 4.457 3.188
angles: 90.00 90.00 90.00
Atoms (fractional coordinates):
Zn 0.000 0.500 0.000
Zn 0.500 0.000 0.000
Tc 0.000 0.000 0.500
Br 0.500 0.500 0.500

Output
- Magnetization: 1.92 μB/cell
- DOS at the Fermi energy: 2.1 states/eV/f.u.
- SG: P4/mmm, No. 123



Which of them is most stable, and which least? Most stable: #P; least stable: #Q.



#P
Te2Br: single point on PBEsol structure, SCAN.

abc: 13.655 3.959 7.187
angles: 90.00 106.06 90.00
Atoms (fractional coordinates):
Te 0.028 0.000 0.261
Te 0.182 0.500 0.306
Te 0.318 0.000 0.694
Te 0.472 0.500 0.739
Te 0.528 0.500 0.261
Te 0.682 0.000 0.306
Te 0.818 0.500 0.694
Te 0.972 0.000 0.739
Br 0.143 0.500 0.804
Br 0.357 0.000 0.196
Br 0.643 0.000 0.804
Br 0.857 0.500 0.196

Output
- Magnetization: 0.01 μB/cell
- DOS at the Fermi energy: 1.1 states/eV/f.u.
- SG: C2/m, No. 12



#Q
Te2Br: single point on PBEsol structure, SCAN.

abc: 14.970 3.996 12.967
angles: 90.00 90.00 90.00
Atoms (fractional coordinates):
Te 0.073 0.250 0.236
Te 0.087 0.750 0.080
Te 0.183 0.750 0.705
Te 0.213 0.250 0.554
Te 0.287 0.750 0.054
Te 0.317 0.250 0.205
Te 0.413 0.250 0.580
Te 0.427 0.750 0.736
Te 0.573 0.250 0.264
Te 0.587 0.750 0.420
Te 0.683 0.750 0.795
Te 0.713 0.250 0.946
Te 0.787 0.750 0.446
Te 0.817 0.250 0.295
Te 0.913 0.250 0.920
Te 0.927 0.750 0.764
Br 0.056 0.750 0.398
Br 0.162 0.250 0.875
Br 0.338 0.750 0.375
Br 0.444 0.250 0.898
Br 0.556 0.750 0.102
Br 0.662 0.250 0.625
Br 0.838 0.750 0.125
Br 0.944 0.250 0.602

Output
- Magnetization: 0.00 μB/cell
- DOS at the Fermi energy: 0.0 states/eV/f.u.
- SG: Pnma, No. 62



Which of them is most stable, and which least? Most stable: #Q; least stable: #P.



#P
TeBr3: single point on PBEsol structure, SCAN.

abc: 3.655 6.622 9.442
angles: 90.00 90.00 90.00
Atoms (fractional coordinates):
Te 0.000 0.000 0.000
Te 0.500 0.500 0.000
Br 0.000 0.000 0.500
Br 0.000 0.500 0.220
Br 0.000 0.500 0.780
Br 0.500 0.000 0.220
Br 0.500 0.000 0.780
Br 0.500 0.500 0.500

Output
- Magnetization: 0.00 μB/cell
- DOS at the Fermi energy: 3.4 states/eV/f.u.
- SG: Cmmm, No. 65



#Q
TeBr3: single point on PBEsol structure, SCAN.

abc: 3.352 3.352 9.177
angles: 90.00 90.00 90.00
Atoms (fractional coordinates):
Te 0.000 0.000 0.000
Br 0.000 0.000 0.500
Br 0.500 0.500 0.213
Br 0.500 0.500 0.787

Output
- Magnetization: 0.00 μB/cell
- DOS at the Fermi energy: 3.3 states/eV/f.u.
- SG: P4/mmm, No. 123



Which of them is most stable, and which least? Most stable: #P; least stable: #Q.



#P
TeBr2: single point on PBEsol structure, SCAN.

abc: 4.846 4.846 4.122
angles: 90.00 90.00 120.00
Atoms (fractional coordinates):
Te 0.000 0.000 0.000
Br 0.333 0.667 0.251
Br 0.667 0.333 0.749

Output
- Magnetization: 0.00 μB/cell
- DOS at the Fermi energy: 1.4 states/eV/f.u.
- SG: P-3m1, No. 164



#Q
TeBr2: single point on PBEsol structure, SCAN.

abc: 15.937 4.021 7.225
angles: 90.00 114.15 90.00
Atoms (fractional coordinates):
Te 0.000 0.000 0.000
Te 0.050 0.500 0.765
Te 0.500 0.500 0.000
Te 0.550 0.000 0.765
Br 0.156 0.000 0.288
Br 0.225 0.500 0.944
Br 0.358 0.000 0.652
Br 0.445 0.000 0.216
Br 0.656 0.500 0.288
Br 0.725 0.000 0.944
Br 0.858 0.500 0.652
Br 0.945 0.500 0.216

Output
- Magnetization: 0.00 μB/cell
- SG: Cm, No. 8



Which of them is most stable, and which least? Most stable: #Q; least stable: #P.



#P
TlTe2Br: single point on PBEsol structure, SCAN.

abc: 3.095 3.095 12.406
angles: 90.00 90.00 90.00
Atoms (fractional coordinates):
Tl 0.000 0.000 0.000
Te 0.500 0.500 0.230
Te 0.500 0.500 0.770
Br 0.000 0.000 0.500

Output
- Magnetization: 0.00 μB/cell
- DOS at the Fermi energy: 1.4 states/eV/f.u.
- SG: P4/mmm, No. 123



#Q
TlTe2Br: single point on PBEsol structure, SCAN.

abc: 7.532 7.532 7.532
angles: 90.00 90.00 90.00
Atoms (fractional coordinates):
Tl 0.000 0.000 0.000
Tl 0.000 0.500 0.500
Tl 0.500 0.000 0.500
Tl 0.500 0.500 0.000
Te 0.250 0.250 0.250
Te 0.250 0.250 0.750
Te 0.250 0.750 0.250
Te 0.250 0.750 0.750
Te 0.750 0.250 0.250
Te 0.750 0.250 0.750
Te 0.750 0.750 0.250
Te 0.750 0.750 0.750
Br 0.000 0.000 0.500
Br 0.000 0.500 0.000
Br 0.500 0.000 0.000
Br 0.500 0.500 0.500

Output
- Magnetization: 0.00 μB/cell
- DOS at the Fermi energy: 3.1 states/eV/f.u.
- SG: Fm-3m, No. 225



#R
TlTe2Br: single point on PBEsol structure, SCAN.

abc: 4.069 4.466 13.835
angles: 90.00 90.00 90.00
Atoms (fractional coordinates):
Tl 0.000 0.000 0.000
Tl 0.500 0.500 0.500
Te 0.000 0.500 0.268
Te 0.000 0.500 0.732
Te 0.500 0.000 0.232
Te 0.500 0.000 0.768
Br 0.000 0.000 0.500
Br 0.500 0.500 0.000

Output
- Magnetization: 0.00 μB/cell
- DOS at the Fermi energy: 1.9 states/eV/f.u.
- SG: Immm, No. 71



Which of them is most stable, and which least? Most stable: #R; least stable: #Q.



#P
TeW2Br: single point on PBEsol structure, SCAN.

abc: 3.353 4.087 6.747
angles: 90.00 95.23 90.00
Atoms (fractional coordinates):
Te 0.000 0.000 0.000
W 0.530 0.000 0.327
W 0.976 0.500 0.274
Br 0.405 0.500 0.608

Output
- Magnetization: 0.00 μB/cell
- DOS at the Fermi energy: 2.2 states/eV/f.u.
- SG: Pm, No. 6



#Q
TeW2Br: single point on PBEsol structure, SCAN.

abc: 3.086 5.437 8.946
angles: 90.00 90.00 90.00
Atoms (fractional coordinates):
Te 0.000 0.000 0.000
Te 0.500 0.500 0.000
W 0.000 0.500 0.246
W 0.000 0.500 0.754
W 0.500 0.000 0.246
W 0.500 0.000 0.754
Br 0.000 0.000 0.500
Br 0.500 0.500 0.500

Output
- Magnetization: 0.00 μB/cell
- DOS at the Fermi energy: 4.4 states/eV/f.u.
- SG: Cmmm, No. 65



Which of them is most stable, and which least? Most stable: #P; least stable: #Q.



#P
YTeBr2: single point on PBEsol structure, SCAN.

abc: 3.405 3.405 9.320
angles: 90.00 90.00 90.00
Atoms (fractional coordinates):
Y 0.000 0.000 0.000
Te 0.000 0.000 0.500
Br 0.500 0.500 0.178
Br 0.500 0.500 0.822

Output
- Magnetization: 0.00 μB/cell
- DOS at the Fermi energy: 1.9 states/eV/f.u.
- SG: P4/mmm, No. 123



#Q
YTeBr2: single point on PBEsol structure, SCAN.

abc: 3.881 3.881 7.491
angles: 90.00 90.00 90.00
Atoms (fractional coordinates):
Y 0.000 0.000 0.000
Te 0.500 0.500 0.823
Br 0.000 0.000 0.601
Br 0.500 0.500 0.243

Output
- Magnetization: 0.54 μB/cell
- DOS at the Fermi energy: 2.7 states/eV/f.u.
- SG: P4mm, No. 99



Which of them is most stable, and which least? Most stable: #P; least stable: #Q.



#P
ZnTe2Br: single point on PBEsol structure, SCAN.

abc: 3.650 4.927 10.863
angles: 90.00 90.00 90.00
Atoms (fractional coordinates):
Zn 0.000 0.000 0.000
Zn 0.500 0.500 0.500
Te 0.000 0.500 0.299
Te 0.000 0.500 0.701
Te 0.500 0.000 0.201
Te 0.500 0.000 0.799
Br 0.000 0.000 0.500
Br 0.500 0.500 0.000

Output
- Magnetization: 0.00 μB/cell
- DOS at the Fermi energy: 1.6 states/eV/f.u.
- SG: Immm, No. 71



#Q
ZnTe2Br: single point on PBEsol structure, SCAN.

abc: 4.066 6.475 8.065
angles: 90.00 90.00 90.00
Atoms (fractional coordinates):
Zn 0.000 0.000 0.000
Zn 0.500 0.500 0.000
Te 0.000 0.500 0.204
Te 0.000 0.500 0.796
Te 0.500 0.000 0.204
Te 0.500 0.000 0.796
Br 0.000 0.000 0.500
Br 0.500 0.500 0.500

Output
- Magnetization: 0.00 μB/cell
- DOS at the Fermi energy: 1.9 states/eV/f.u.
- SG: Cmmm, No. 65



Which of them is most stable, and which least? Most stable: #Q; least stable: #P.